(1)
Computed, not measured: a relaxed PmHf2Sc crystal at the PBE level of DFT.

Values from the calculation:
DFT formation energy, eV per atom: 0.291
Calculated total energy, eV/atom: -7.456
Relative energy among the computed polymorphs, eV/atom: 0.114
Magnetic moment, μB per formula unit: 0.00

Cell: 11.549 11.549 11.549 Å, 15.90 15.90 15.90°
Fractional coordinates of all 4 atoms:
Pm 0.000 0.000 0.000
Hf 0.093 0.093 0.093
Hf 0.907 0.907 0.907
Sc 0.500 0.500 0.500

---

(2)
Computed, not measured: a relaxed Hf3ZrCd3 crystal at the PBE level of DFT.

Values from the calculation:
DFT formation energy, eV per atom: 0.026
Calculated total energy, eV/atom: -5.853
Magnetic moment, μB per formula unit: 0.00

Cell: 8.466 8.466 4.960 Å, 90.00 90.00 120.00°
Fractional coordinates of all 14 atoms:
Hf 0.100 0.474 0.250
Hf 0.374 0.900 0.250
Hf 0.474 0.374 0.750
Hf 0.526 0.626 0.250
Hf 0.626 0.100 0.750
Hf 0.900 0.526 0.750
Zr 0.333 0.667 0.750
Zr 0.667 0.333 0.250
Cd 0.047 0.237 0.750
Cd 0.190 0.953 0.750
Cd 0.237 0.190 0.250
Cd 0.763 0.810 0.750
Cd 0.810 0.047 0.250
Cd 0.953 0.763 0.250

---

(3)
Computed, not measured: a relaxed BaLiMg crystal at the PBE level of DFT.

Values from the calculation:
DFT formation energy, eV per atom: 0.006
Calculated total energy, eV/atom: -1.804
Relative energy among the computed polymorphs, eV/atom: 0.030
Magnetic moment, μB per formula unit: 0.00

Cell: 6.798 6.798 6.798 Å, 145.09 145.09 50.21°
Fractional coordinates of all 3 atoms:
Ba 0.000 0.000 0.000
Li 0.295 0.295 0.000
Mg 0.696 0.696 0.000

---

(4)
Computed, not measured: a relaxed Tl6Se3Cl crystal at the PBE level of DFT.

Values from the calculation:
Uncorrected formation energy, eV per formula unit: -4.41
Calculated total energy, eV/atom: -3.091
Relative energy among the computed polymorphs, eV/atom: 0.000
Magnetic moment, μB per formula unit: 0.00

Cell: 11.789 4.539 13.305 Å, 90.00 102.51 90.00°
Fractional coordinates of all 20 atoms:
Tl 0.003 0.250 0.376
Tl 0.105 0.250 0.939
Tl 0.225 0.750 0.248
Tl 0.319 0.750 0.740
Tl 0.365 0.250 0.513
Tl 0.393 0.750 0.071
Tl 0.607 0.250 0.929
Tl 0.635 0.750 0.487
Tl 0.681 0.250 0.260
Tl 0.775 0.250 0.752
Tl 0.895 0.750 0.061
Tl 0.997 0.750 0.624
Se 0.052 0.250 0.152
Se 0.176 0.750 0.462
Se 0.350 0.250 0.902
Se 0.650 0.750 0.098
Se 0.824 0.250 0.538
Se 0.948 0.750 0.848
Cl 0.439 0.250 0.305
Cl 0.561 0.750 0.695

---

(5)
Computed, not measured: a relaxed TaRuW2 crystal at the PBE level of DFT.

Values from the calculation:
DFT formation energy, eV per atom: -0.038
Calculated total energy, eV/atom: -11.797
Relative energy among the computed polymorphs, eV/atom: 0.038
Magnetic moment, μB per formula unit: 0.00

Cell: 5.302 5.302 5.302 Å, 144.70 130.78 62.01°
Fractional coordinates of all 4 atoms:
Ta 0.000 0.000 0.000
Ru 0.500 0.500 0.000
W 0.246 0.746 0.500
W 0.754 0.254 0.500

---

(6)
Computed, not measured: a relaxed Ta2TlPb crystal at the PBE level of DFT.

Values from the calculation:
DFT formation energy, eV per atom: 0.598
Calculated total energy, eV/atom: -6.847
Relative energy among the computed polymorphs, eV/atom: 0.239
Magnetic moment, μB per formula unit: 0.00

Cell: 3.143 4.796 5.970 Å, 90.00 104.00 90.00°
Fractional coordinates of all 4 atoms:
Ta 0.000 0.000 0.000
Ta 0.354 0.500 0.238
Tl 0.870 0.000 0.465
Pb 0.467 0.500 0.769

---

(7)
Computed, not measured: a relaxed Pm4Cu2Os crystal at the PBE level of DFT.

Values from the calculation:
DFT formation energy, eV per atom: -0.056
Calculated total energy, eV/atom: -5.545
Magnetic moment, μB per formula unit: 0.00

Cell: 8.655 8.655 8.655 Å, 33.55 33.55 33.55°
Fractional coordinates of all 7 atoms:
Pm 0.121 0.121 0.121
Pm 0.373 0.373 0.373
Pm 0.627 0.627 0.627
Pm 0.879 0.879 0.879
Cu 0.248 0.248 0.248
Cu 0.752 0.752 0.752
Os 0.000 0.000 0.000

---

(8)
Computed, not measured: a relaxed Cs3KMg2Br9 crystal at the PBE level of DFT.

Values from the calculation:
Uncorrected formation energy, eV per formula unit: -22.46
Calculated total energy, eV/atom: -2.957
Magnetic moment, μB per formula unit: 0.00

Cell: 7.882 7.882 10.387 Å, 90.00 90.00 120.00°
Fractional coordinates of all 15 atoms:
Cs 0.000 0.000 0.000
Cs 0.333 0.667 0.694
Cs 0.667 0.333 0.306
K 0.000 0.000 0.500
Mg 0.333 0.667 0.156
Mg 0.667 0.333 0.844
Br 0.000 0.500 0.000
Br 0.175 0.350 0.299
Br 0.175 0.825 0.299
Br 0.350 0.175 0.701
Br 0.500 0.000 0.000
Br 0.500 0.500 0.000
Br 0.650 0.825 0.299
Br 0.825 0.175 0.701
Br 0.825 0.650 0.701